No. 1
Computed, not measured: crystalline ScCu2Hg2 at its relaxed geometry at the PBE-GGA level of DFT.

Structure (CIF):
```
data_ScCu2Hg2
_chemical_formula_sum 'Sc2 Cu4 Hg4'
_symmetry_space_group_name_H-M 'P 4/m b m'
_symmetry_Int_Tables_number 127
_symmetry_space_group_name_Hall '-P 4 2ab'
_cell_length_a 7.758
_cell_length_b 7.758
_cell_length_c 3.072
_cell_angle_alpha 90.00
_cell_angle_beta 90.00
_cell_angle_gamma 90.00
loop_
_atom_site_label
_atom_site_type_symbol
_atom_site_fract_x
_atom_site_fract_y
_atom_site_fract_z
Sc1 Sc 0.000 0.000 0.000
Cu1 Cu 0.166 0.334 0.500
Hg1 Hg 0.136 0.636 0.000
```

## Properties
Energy relative to the elements in kcal/mol of atoms: 1.9
Energy above the most stable polymorph in this dataset in eV/f.u.: 0.473

No. 2
Computed, not measured: crystalline Sc2CuHg at its relaxed geometry at the PBE-GGA level of DFT.

Structure (CIF):
```
data_Sc2CuHg
_chemical_formula_sum 'Sc6 Cu3 Hg3'
_symmetry_space_group_name_H-M 'R 3 m'
_symmetry_Int_Tables_number 160
_symmetry_space_group_name_Hall 'R 3 -2"'
_cell_length_a 3.3501
_cell_length_b 3.3501
_cell_length_c 26.5735
_cell_angle_alpha 90.00
_cell_angle_beta 90.00
_cell_angle_gamma 120.00
loop_
_atom_site_label
_atom_site_type_symbol
_atom_site_fract_x
_atom_site_fract_y
_atom_site_fract_z
Sc1 Sc 0.0000 0.0000 0.0000
Sc2 Sc 0.0000 0.0000 0.2349
Cu1 Cu 0.0000 0.0000 0.4956
Hg1 Hg 0.0000 0.0000 0.7549
```

## Properties
Energy relative to the elements in kcal/mol of atoms: 0.1

No. 3
Computed, not measured: crystalline ScCu3HgSe4 at its relaxed geometry at the PBE-GGA level of DFT.

Structure (CIF):
```
data_ScCu3HgSe4
_chemical_formula_sum 'Sc1 Cu3 Hg1 Se4'
_symmetry_space_group_name_H-M 'P -4 3 m'
_symmetry_Int_Tables_number 215
_symmetry_space_group_name_Hall 'P -4 2 3'
_cell_length_a 5.947
_cell_length_b 5.947
_cell_length_c 5.947
_cell_angle_alpha 90.00
_cell_angle_beta 90.00
_cell_angle_gamma 90.00
loop_
_atom_site_label
_atom_site_type_symbol
_atom_site_fract_x
_atom_site_fract_y
_atom_site_fract_z
Sc1 Sc 0.000 0.000 0.000
Cu1 Cu 0.000 0.000 0.500
Hg1 Hg 0.500 0.500 0.500
Se1 Se 0.243 0.243 0.243
```

## Properties
E_form (uncorrected) in meV per atom: -471

No. 4
Computed, not measured: crystalline ScCuSnHg at its relaxed geometry at the PBE-GGA level of DFT.

Structure (CIF):
```
data_ScCuSnHg
_chemical_formula_sum 'Sc4 Cu4 Sn4 Hg4'
_symmetry_space_group_name_H-M 'F -4 3 m'
_symmetry_Int_Tables_number 216
_symmetry_space_group_name_Hall 'F -4 2 3'
_cell_length_a 6.858
_cell_length_b 6.858
_cell_length_c 6.858
_cell_angle_alpha 90.00
_cell_angle_beta 90.00
_cell_angle_gamma 90.00
loop_
_atom_site_label
_atom_site_type_symbol
_atom_site_fract_x
_atom_site_fract_y
_atom_site_fract_z
Sc1 Sc 0.000 0.000 0.000
Cu1 Cu 0.000 0.000 0.500
Sn1 Sn 0.250 0.250 0.750
Hg1 Hg 0.250 0.250 0.250
```

## Properties
Energy relative to the elements in kcal/mol of atoms: -3.9

No. 5
Computed, not measured: crystalline ScCuSnHg2 at its relaxed geometry at the PBE-GGA level of DFT.

Structure (CIF):
```
data_ScCuSnHg2
_chemical_formula_sum 'Sc1 Cu1 Sn1 Hg2'
_symmetry_space_group_name_H-M 'P 4/m m m'
_symmetry_Int_Tables_number 123
_symmetry_space_group_name_Hall '-P 4 2'
_cell_length_a 5.517
_cell_length_b 5.517
_cell_length_c 4.809
_cell_angle_alpha 90.00
_cell_angle_beta 90.00
_cell_angle_gamma 90.00
loop_
_atom_site_label
_atom_site_type_symbol
_atom_site_fract_x
_atom_site_fract_y
_atom_site_fract_z
Sc1 Sc 0.000 0.000 0.000
Cu1 Cu 0.000 0.000 0.500
Sn1 Sn 0.500 0.500 0.500
Hg1 Hg 0.000 0.500 0.000
```

## Properties
Energy relative to the elements in kcal/mol of atoms: 13.9

No. 6
Computed, not measured: crystalline TbScCuHg at its relaxed geometry at the PBE-GGA level of DFT.

Structure (CIF):
```
data_TbScCuHg
_chemical_formula_sum 'Tb4 Sc4 Cu4 Hg4'
_symmetry_space_group_name_H-M 'F -4 3 m'
_symmetry_Int_Tables_number 216
_symmetry_space_group_name_Hall 'F -4 2 3'
_cell_length_a 7.051
_cell_length_b 7.051
_cell_length_c 7.051
_cell_angle_alpha 90.00
_cell_angle_beta 90.00
_cell_angle_gamma 90.00
loop_
_atom_site_label
_atom_site_type_symbol
_atom_site_fract_x
_atom_site_fract_y
_atom_site_fract_z
Tb1 Tb 0.000 0.000 0.000
Sc1 Sc 0.000 0.000 0.500
Cu1 Cu 0.250 0.250 0.750
Hg1 Hg 0.250 0.250 0.250
```

## Properties
Energy relative to the elements in kcal/mol of atoms: -7.0